Below is a geometry-optimized ErReNO structure, with properties calculated at the PBE-GGA level.

Output
* DFT total energy: -8.35 eV/atom
* energy above the lowest structure with this stoichiometry: 3.08 eV per formula unit

abc: 4.8023 4.8023 4.2593
angles: 90.00 90.00 90.00
Sites, in units of the cell vectors:
1 Er 0.7500 0.2500 0.5000
2 Er 0.2500 0.7500 0.5000
3 N 0.7500 0.7500 0.4988
4 N 0.2500 0.2500 0.5012
5 O 0.7500 0.2500 0.0000
6 O 0.2500 0.7500 0.0000
7 Re 0.2500 0.2500 0.0009
8 Re 0.7500 0.7500 0.9991